# InHg2F

A relaxed structure of InHg2F (PBE, Alexandria).

Values from the calculation:
* density of states at the Fermi level: 0.00 states/eV/cell
* energy relative to the elements, uncorrected: -619 meV/atom
* energy above the lowest structure with this stoichiometry: 201 meV/atom
* crystal system: tetragonal
* magnetization: 0.0 μB/cell

abc: 8.3326 8.3326 6.5348
angles: 50.39 50.39 90.00
Fractional positions:
In1 0.0000 0.0000 0.0000
Hg1 0.6012 0.1250 0.2500
F1 0.2500 0.7500 0.5000
Hg2 0.3750 0.3988 0.7500
In2 0.7500 0.2500 0.5000
Hg3 0.1488 0.6250 0.2500
F2 0.5000 0.5000 0.0000
Hg4 0.8750 0.8512 0.7500



# Tc2NiRuC

A relaxed structure of Tc2NiRuC (PBE, Alexandria).

Values from the calculation:
* formation energy: 1.6054 eV/atom
* density of states at the Fermi level: 6.60 states/eV/cell
* crystal system: tetragonal
* magnetization: 0.0 μB/cell

abc: 4.6340 3.3063 4.6340
angles: 90.00 90.00 90.00
Fractional positions:
Tc1 0.5000 0.0000 0.0000
C1 0.0000 0.5000 0.0000
Tc2 0.0000 0.0000 0.5000
Ru1 0.5000 0.5000 0.5000
Ni1 0.0000 0.0000 0.0000



Number 1 is which compound?
InHg2F